Entry 1:
Computed, not measured: a geometry-optimized PrHo6Co2 structure at the PBE-GGA level of DFT.

Lattice parameters (Å, degrees): 8.5009 8.5009 8.5009 112.91 108.16 107.40
Fractional positions:
Pr: 0.0000 0.0000 0.0000
Pr: 0.5000 0.0000 0.5000
Ho: 0.0112 0.7775 0.2337
Ho: 0.1881 0.4794 0.2913
Ho: 0.1881 0.8968 0.7087
Ho: 0.3178 0.3144 0.6322
Ho: 0.3178 0.6856 0.0034
Ho: 0.4562 0.2225 0.2337
Ho: 0.5438 0.7775 0.7663
Ho: 0.6822 0.3144 0.9966
Ho: 0.6822 0.6856 0.3678
Ho: 0.8119 0.1032 0.2913
Ho: 0.8119 0.5206 0.7087
Ho: 0.9888 0.2225 0.7663
Co: 0.1122 0.5000 0.6122
Co: 0.3382 0.3382 0.0000
Co: 0.6618 0.6618 0.0000
Co: 0.8878 0.5000 0.3878

Properties
SG = No. 71
VASP energy = -46.93 eV/f.u.

***

Entry 2:
Computed, not measured: a geometry-optimized Pr2Ho3Co2 structure at the PBE-GGA level of DFT.

Lattice parameters (Å, degrees): 12.2521 3.6497 9.0641 90.00 116.69 90.00
Fractional positions:
Pr: 0.1698 0.0000 0.3010
Pr: 0.3302 0.5000 0.6990
Pr: 0.6698 0.5000 0.3010
Pr: 0.8302 0.0000 0.6990
Ho: 0.0000 0.5000 0.5000
Ho: 0.1199 0.5000 0.9242
Ho: 0.3801 0.0000 0.0758
Ho: 0.5000 0.0000 0.5000
Ho: 0.6199 0.0000 0.9242
Ho: 0.8801 0.5000 0.0758
Co: 0.1752 0.0000 0.7441
Co: 0.3248 0.5000 0.2559
Co: 0.6752 0.5000 0.7441
Co: 0.8248 0.0000 0.2559

Properties
SG = No. 12
VASP energy = -38.40 eV/f.u.

***

Entry 3:
Computed, not measured: a geometry-optimized Pr2HoCo structure at the PBE-GGA level of DFT.

Lattice parameters (Å, degrees): 3.5603 3.5603 8.8415 90.00 90.00 90.00
Fractional positions:
Pr: 0.0000 0.0000 0.1943
Pr: 0.0000 0.0000 0.8057
Ho: 0.5000 0.5000 0.5000
Co: 0.5000 0.5000 0.0000

Properties
SG = No. 123
Energy above the most stable polymorph in this dataset = 176.7 meV/atom

***

Entry 4:
Computed, not measured: a geometry-optimized PrHoCoRh structure at the PBE-GGA level of DFT.

Lattice parameters (Å, degrees): 6.9189 6.9189 6.9189 90.00 90.00 90.00
Fractional positions:
Pr: 0.0000 0.0000 0.0000
Pr: 0.0000 0.5000 0.5000
Pr: 0.5000 0.0000 0.5000
Pr: 0.5000 0.5000 0.0000
Ho: 0.0000 0.0000 0.5000
Ho: 0.0000 0.5000 0.0000
Ho: 0.5000 0.0000 0.0000
Ho: 0.5000 0.5000 0.5000
Co: 0.2500 0.2500 0.7500
Co: 0.2500 0.7500 0.2500
Co: 0.7500 0.2500 0.2500
Co: 0.7500 0.7500 0.7500
Rh: 0.2500 0.2500 0.2500
Rh: 0.2500 0.7500 0.7500
Rh: 0.7500 0.2500 0.7500
Rh: 0.7500 0.7500 0.2500

Properties
SG = No. 216
VASP energy = -25.26 eV/f.u.

***

Entry 5:
Computed, not measured: a geometry-optimized Ho6CoPt2 structure at the PBE-GGA level of DFT.

Lattice parameters (Å, degrees): 6.5262 7.2571 11.5834 90.00 123.62 90.00
Fractional positions:
Ho: 0.1058 0.0355 0.2486
Ho: 0.1058 0.4645 0.7486
Ho: 0.2342 0.6767 0.0672
Ho: 0.2342 0.8233 0.5672
Ho: 0.3906 0.1825 0.0640
Ho: 0.3906 0.3175 0.5640
Ho: 0.6094 0.6825 0.4360
Ho: 0.6094 0.8175 0.9360
Ho: 0.7658 0.1767 0.4328
Ho: 0.7658 0.3233 0.9328
Ho: 0.8942 0.5355 0.2514
Ho: 0.8942 0.9645 0.7514
Co: 0.5000 0.0000 0.5000
Co: 0.5000 0.5000 0.0000
Pt: 0.3047 0.1154 0.7543
Pt: 0.3047 0.3846 0.2543
Pt: 0.6953 0.6154 0.7457
Pt: 0.6953 0.8846 0.2457

Properties
SG = No. 14
VASP energy = -52.72 eV/f.u.

***

Entry 6:
Computed, not measured: a geometry-optimized Ho12Co6Pt structure at the PBE-GGA level of DFT.

Lattice parameters (Å, degrees): 8.2093 8.2093 8.2093 109.47 109.47 109.47
Fractional positions:
Ho: 0.1049 0.8071 0.2978
Ho: 0.1929 0.2978 0.4907
Ho: 0.1929 0.7022 0.8951
Ho: 0.2978 0.1049 0.8071
Ho: 0.2978 0.4907 0.1929
Ho: 0.4907 0.1929 0.2978
Ho: 0.5093 0.8071 0.7022
Ho: 0.7022 0.5093 0.8071
Ho: 0.7022 0.8951 0.1929
Ho: 0.8071 0.2978 0.1049
Ho: 0.8071 0.7022 0.5093
Ho: 0.8951 0.1929 0.7022
Co: 0.1151 0.6151 0.5000
Co: 0.3849 0.5000 0.8849
Co: 0.5000 0.1151 0.6151
Co: 0.5000 0.8849 0.3849
Co: 0.6151 0.5000 0.1151
Co: 0.8849 0.3849 0.5000
Pt: 0.0000 0.0000 0.0000

Properties
SG = No. 204
VASP energy = -109.30 eV/f.u.

***

Entry 7:
Computed, not measured: a geometry-optimized Ho6Co2Pt structure at the PBE-GGA level of DFT.

Lattice parameters (Å, degrees): 6.4594 7.0174 11.6064 90.00 120.93 90.00
Fractional positions:
Ho: 0.0787 0.1819 0.4243
Ho: 0.0787 0.3181 0.9243
Ho: 0.2277 0.6677 0.4148
Ho: 0.2277 0.8323 0.9148
Ho: 0.4140 0.0619 0.2436
Ho: 0.4140 0.4381 0.7436
Ho: 0.5860 0.5619 0.2564
Ho: 0.5860 0.9381 0.7564
Ho: 0.7723 0.1677 0.0852
Ho: 0.7723 0.3323 0.5852
Ho: 0.9213 0.6819 0.0757
Ho: 0.9213 0.8181 0.5757
Co: 0.1896 0.1115 0.7359
Co: 0.1896 0.3885 0.2359
Co: 0.8104 0.6115 0.7641
Co: 0.8104 0.8885 0.2641
Pt: 0.5000 0.0000 0.5000
Pt: 0.5000 0.5000 0.0000

Properties
SG = No. 14
Energy above the most stable polymorph in this dataset = 94.3 meV/atom

***

Entry 8:
Computed, not measured: a geometry-optimized Ho4CoPt structure at the PBE-GGA level of DFT.

Lattice parameters (Å, degrees): 7.8712 7.8712 6.1453 107.86 107.86 112.42
Fractional positions:
Ho: 0.0526 0.6945 0.9011
Ho: 0.2305 0.3510 0.7182
Ho: 0.3055 0.9474 0.5989
Ho: 0.3510 0.2305 0.2182
Ho: 0.6490 0.7695 0.7818
Ho: 0.6945 0.0526 0.4011
Ho: 0.7695 0.6490 0.2818
Ho: 0.9474 0.3055 0.0989
Co: 0.0028 0.9972 0.2500
Co: 0.9972 0.0028 0.7500
Pt: 0.3630 0.6370 0.2500
Pt: 0.6370 0.3630 0.7500

Properties
SG = No. 15
Energy above the most stable polymorph in this dataset = 0.0 meV/atom

***

Entry 9:
Computed, not measured: a geometry-optimized Ho7Co2Pt2 structure at the PBE-GGA level of DFT.

Lattice parameters (Å, degrees): 6.4705 6.4705 6.7021 90.00 90.00 108.42
Fractional positions:
Ho: 0.0000 0.0000 0.0000
Ho: 0.0000 0.5000 0.2577
Ho: 0.0000 0.5000 0.7423
Ho: 0.5000 0.0000 0.2577
Ho: 0.5000 0.0000 0.7423
Ho: 0.5000 0.5000 0.2507
Ho: 0.5000 0.5000 0.7493
Co: 0.2893 0.7107 0.0000
Co: 0.7107 0.2893 0.0000
Pt: 0.1884 0.1884 0.5000
Pt: 0.8116 0.8116 0.5000

Properties
SG = No. 65
VASP energy = -63.14 eV/f.u.

***

Entry 10:
Computed, not measured: a geometry-optimized Ho12Co3Pt5 structure at the PBE-GGA level of DFT.

Lattice parameters (Å, degrees): 14.2300 14.2300 14.2300 109.47 109.47 109.47
Fractional positions:
Ho: 0.0528 0.2247 0.1296
Ho: 0.0528 0.3281 0.9233
Ho: 0.0767 0.6296 0.4048
Ho: 0.0767 0.9472 0.6719
Ho: 0.0952 0.7247 0.6719
Ho: 0.0952 0.8704 0.4233
Ho: 0.1296 0.0528 0.2247
Ho: 0.1296 0.5767 0.9048
Ho: 0.1719 0.2247 0.5952
Ho: 0.1719 0.4472 0.5767
Ho: 0.2247 0.1296 0.0528
Ho: 0.2247 0.5952 0.1719
Ho: 0.2753 0.3281 0.9048
Ho: 0.2753 0.4472 0.3704
Ho: 0.3281 0.9048 0.2753
Ho: 0.3281 0.9233 0.0528
Ho: 0.3704 0.2753 0.4472
Ho: 0.3704 0.5952 0.9233
Ho: 0.4048 0.0767 0.6296
Ho: 0.4048 0.8281 0.7753
Ho: 0.4233 0.0952 0.8704
Ho: 0.4233 0.8281 0.5528
Ho: 0.4472 0.3704 0.2753
Ho: 0.4472 0.5767 0.1719
Ho: 0.5528 0.4233 0.8281
Ho: 0.5528 0.6296 0.7247
Ho: 0.5767 0.1719 0.4472
Ho: 0.5767 0.9048 0.1296
Ho: 0.5952 0.1719 0.2247
Ho: 0.5952 0.9233 0.3704
Ho: 0.6296 0.4048 0.0767
Ho: 0.6296 0.7247 0.5528
Ho: 0.6719 0.0767 0.9472
Ho: 0.6719 0.0952 0.7247
Ho: 0.7247 0.5528 0.6296
Ho: 0.7247 0.6719 0.0952
Ho: 0.7753 0.4048 0.8281
Ho: 0.7753 0.8704 0.9472
Ho: 0.8281 0.5528 0.4233
Ho: 0.8281 0.7753 0.4048
Ho: 0.8704 0.4233 0.0952
Ho: 0.8704 0.9472 0.7753
Ho: 0.9048 0.1296 0.5767
Ho: 0.9048 0.2753 0.3281
Ho: 0.9233 0.0528 0.3281
Ho: 0.9233 0.3704 0.5952
Ho: 0.9472 0.6719 0.0767
Ho: 0.9472 0.7753 0.8704
Co: 0.1250 0.2500 0.3750
Co: 0.1250 0.3750 0.7500
Co: 0.2500 0.3750 0.1250
Co: 0.2500 0.8750 0.6250
Co: 0.3750 0.1250 0.2500
Co: 0.3750 0.7500 0.1250
Co: 0.6250 0.2500 0.8750
Co: 0.6250 0.8750 0.7500
Co: 0.7500 0.1250 0.3750
Co: 0.7500 0.6250 0.8750
Co: 0.8750 0.6250 0.2500
Co: 0.8750 0.7500 0.6250
Pt: 0.0000 0.0000 0.0000
Pt: 0.0000 0.0000 0.5000
Pt: 0.0000 0.5000 0.0000
Pt: 0.0000 0.5000 0.5000
Pt: 0.1250 0.7500 0.8750
Pt: 0.1250 0.8750 0.2500
Pt: 0.2500 0.1250 0.8750
Pt: 0.2500 0.6250 0.3750
Pt: 0.3750 0.2500 0.6250
Pt: 0.3750 0.6250 0.7500
Pt: 0.5000 0.0000 0.0000
Pt: 0.5000 0.0000 0.5000
Pt: 0.5000 0.5000 0.0000
Pt: 0.5000 0.5000 0.5000
Pt: 0.6250 0.3750 0.2500
Pt: 0.6250 0.7500 0.3750
Pt: 0.7500 0.3750 0.6250
Pt: 0.7500 0.8750 0.1250
Pt: 0.8750 0.1250 0.7500
Pt: 0.8750 0.2500 0.1250

Properties
SG = No. 230
VASP energy = -112.35 eV/f.u.

***

Entry 11:
Computed, not measured: a geometry-optimized Ho4Co3Pt structure at the PBE-GGA level of DFT.

Lattice parameters (Å, degrees): 3.9415 3.9594 10.4435 90.00 90.00 90.00
Fractional positions:
Ho: 0.0000 0.0000 0.0000
Ho: 0.0000 0.5000 0.4875
Ho: 0.5000 0.0000 0.7044
Ho: 0.5000 0.5000 0.2066
Co: 0.0000 0.0000 0.2954
Co: 0.5000 0.0000 0.4052
Co: 0.5000 0.5000 0.9332
Pt: 0.0000 0.5000 0.7745

Properties
SG = No. 25
VASP energy = -49.42 eV/f.u.

***

Entry 12:
Computed, not measured: a geometry-optimized Ho4CoPt structure at the PBE-GGA level of DFT.

Lattice parameters (Å, degrees): 7.6192 7.6192 7.6192 106.38 106.38 115.86
Fractional positions:
Ho: 0.1693 0.4739 0.6954
Ho: 0.2239 0.0285 0.8046
Ho: 0.2239 0.4193 0.1954
Ho: 0.2960 0.0000 0.2960
Ho: 0.7040 0.0000 0.7040
Ho: 0.7500 0.5460 0.7960
Ho: 0.7500 0.9540 0.2040
Ho: 0.7785 0.4739 0.3046
Co: 0.7354 0.2354 0.5000
Co: 0.9854 0.9854 0.0000
Pt: 0.2400 0.7400 0.5000
Pt: 0.4900 0.4900 0.0000

Properties
SG = No. 109
Energy above the most stable polymorph in this dataset = 78.5 meV/atom

***

Entry 13:
Computed, not measured: a geometry-optimized Ho2CoPt structure at the PBE-GGA level of DFT.

Lattice parameters (Å, degrees): 3.3908 3.3908 6.8319 90.00 90.00 90.00
Fractional positions:
Ho: 0.0000 0.0000 0.2406
Ho: 0.0000 0.0000 0.7594
Co: 0.5000 0.5000 0.0000
Pt: 0.5000 0.5000 0.5000

Properties
SG = No. 123
VASP energy = -25.16 eV/f.u.

***

Entry 14:
Computed, not measured: a geometry-optimized Ho6Co2Pt structure at the PBE-GGA level of DFT.

Lattice parameters (Å, degrees): 8.1402 8.1402 8.1402 110.84 110.00 107.59
Fractional positions:
Ho: 0.0126 0.8262 0.1864
Ho: 0.2475 0.5587 0.3112
Ho: 0.2475 0.9362 0.6888
Ho: 0.2716 0.3209 0.5926
Ho: 0.2716 0.6791 0.9507
Ho: 0.3602 0.1738 0.1864
Ho: 0.6398 0.8262 0.8136
Ho: 0.7284 0.3209 0.0493
Ho: 0.7284 0.6791 0.4074
Ho: 0.7525 0.0638 0.3112
Ho: 0.7525 0.4413 0.6888
Ho: 0.9874 0.1738 0.8136
Co: 0.0000 0.1633 0.1633
Co: 0.0000 0.8367 0.8367
Co: 0.3852 0.3852 0.0000
Co: 0.6148 0.6148 0.0000
Pt: 0.0000 0.5000 0.5000
Pt: 0.5000 0.0000 0.5000

Properties
SG = No. 71
Energy above the most stable polymorph in this dataset = 0.0 meV/atom

***

Entry 15:
Computed, not measured: a geometry-optimized HoScCoPt structure at the PBE-GGA level of DFT.

Lattice parameters (Å, degrees): 6.6464 6.6464 6.6464 90.00 90.00 90.00
Fractional positions:
Ho: 0.0000 0.0000 0.0000
Ho: 0.0000 0.5000 0.5000
Ho: 0.5000 0.0000 0.5000
Ho: 0.5000 0.5000 0.0000
Sc: 0.0000 0.0000 0.5000
Sc: 0.0000 0.5000 0.0000
Sc: 0.5000 0.0000 0.0000
Sc: 0.5000 0.5000 0.5000
Co: 0.2500 0.2500 0.2500
Co: 0.2500 0.7500 0.7500
Co: 0.7500 0.2500 0.7500
Co: 0.7500 0.7500 0.2500
Pt: 0.2500 0.2500 0.7500
Pt: 0.2500 0.7500 0.2500
Pt: 0.7500 0.2500 0.2500
Pt: 0.7500 0.7500 0.7500

Properties
SG = No. 216
VASP energy = -26.91 eV/f.u.

***

Entry 16:
Computed, not measured: a geometry-optimized Ho2CoSi3Pt4 structure at the PBE-GGA level of DFT.

Lattice parameters (Å, degrees): 4.1487 4.1487 10.0074 90.00 90.00 90.00
Fractional positions:
Ho: 0.0000 0.5000 0.2432
Ho: 0.5000 0.0000 0.7568
Co: 0.5000 0.5000 0.0000
Si: 0.0000 0.0000 0.0000
Si: 0.0000 0.5000 0.6346
Si: 0.5000 0.0000 0.3654
Pt: 0.0000 0.0000 0.5000
Pt: 0.0000 0.5000 0.8678
Pt: 0.5000 0.0000 0.1322
Pt: 0.5000 0.5000 0.5000

Properties
SG = No. 115
Formation energy (no corrections) = -0.955 eV per atom

***

Entry 17:
Computed, not measured: a geometry-optimized Ho2CoSi4Pt3 structure at the PBE-GGA level of DFT.

Lattice parameters (Å, degrees): 4.0921 4.0921 9.9786 90.00 90.00 90.00
Fractional positions:
Ho: 0.0000 0.5000 0.2447
Ho: 0.5000 0.0000 0.7553
Co: 0.5000 0.5000 0.0000
Si: 0.0000 0.0000 0.5000
Si: 0.0000 0.5000 0.8724
Si: 0.5000 0.0000 0.1276
Si: 0.5000 0.5000 0.5000
Pt: 0.0000 0.0000 0.0000
Pt: 0.0000 0.5000 0.6310
Pt: 0.5000 0.0000 0.3690

Properties
SG = No. 115
Formation energy (no corrections) = -1.016 eV per atom

***

Entry 18:
Computed, not measured: a geometry-optimized SmHoCoPt structure at the PBE-GGA level of DFT.

Lattice parameters (Å, degrees): 6.9155 6.9155 6.9155 90.00 90.00 90.00
Fractional positions:
Sm: 0.0000 0.0000 0.0000
Sm: 0.0000 0.5000 0.5000
Sm: 0.5000 0.0000 0.5000
Sm: 0.5000 0.5000 0.0000
Ho: 0.0000 0.0000 0.5000
Ho: 0.0000 0.5000 0.0000
Ho: 0.5000 0.0000 0.0000
Ho: 0.5000 0.5000 0.5000
Co: 0.2500 0.2500 0.7500
Co: 0.2500 0.7500 0.2500
Co: 0.7500 0.2500 0.2500
Co: 0.7500 0.7500 0.7500
Pt: 0.2500 0.2500 0.2500
Pt: 0.2500 0.7500 0.7500
Pt: 0.7500 0.2500 0.7500
Pt: 0.7500 0.7500 0.2500

Properties
SG = No. 216
VASP energy = -24.86 eV/f.u.

***

Entry 19:
Computed, not measured: a geometry-optimized HoCoSnPt structure at the PBE-GGA level of DFT.

Lattice parameters (Å, degrees): 6.6467 6.6467 6.6467 90.00 90.00 90.00
Fractional positions:
Ho: 0.0000 0.0000 0.0000
Ho: 0.0000 0.5000 0.5000
Ho: 0.5000 0.0000 0.5000
Ho: 0.5000 0.5000 0.0000
Co: 0.2500 0.2500 0.7500
Co: 0.2500 0.7500 0.2500
Co: 0.7500 0.2500 0.2500
Co: 0.7500 0.7500 0.7500
Sn: 0.0000 0.0000 0.5000
Sn: 0.0000 0.5000 0.0000
Sn: 0.5000 0.0000 0.0000
Sn: 0.5000 0.5000 0.5000
Pt: 0.2500 0.2500 0.2500
Pt: 0.2500 0.7500 0.7500
Pt: 0.7500 0.2500 0.7500
Pt: 0.7500 0.7500 0.2500

Properties
SG = No. 216
VASP energy = -23.99 eV/f.u.

***

no.,ρ (g/cm3)
1,8.8
2,8.2
3,7.5
4,9.4
5,10.5
6,9.9
7,9.6
8,10.3
9,10.4
10,9.4
11,10.5
12,9.0
13,12.3
14,10.4
15,10.5
16,12.1
17,10.8
18,11.4
19,12.2